<1>
Density functional theory data (PBE) for Co2PdN2 after structural relaxation.

```
10
Lattice="6.067 0.000 0.000 0.000 6.067 0.000 0.000 0.000 2.606" Properties=species:S:1:pos:R:3 pbc="T T T"
Co 0.809 2.224 0.000
Co 2.224 5.258 0.000
Co 3.843 0.809 0.000
Co 5.258 3.843 0.000
Pd 0.000 0.000 1.303
Pd 3.034 3.034 1.303
N 0.799 3.832 1.303
N 2.235 0.799 1.303
N 3.832 5.269 1.303
N 5.269 2.235 1.303
```

Output
Space-group type: No. 127
Crystal system: tetragonal

<2>
Density functional theory data (PBE) for Co2PdN2 after structural relaxation.

```
5
Lattice="-1.681 1.681 4.688 1.681 -1.681 4.688 1.681 1.681 -4.688" Properties=species:S:1:pos:R:3 pbc="T T T"
Co 1.681 0.000 2.344
Co 0.000 1.681 2.344
Pd 0.000 0.000 0.000
N 0.000 0.000 3.267
N 0.000 0.000 6.109
```

Output
Space-group type: No. 139
Crystal system: tetragonal

<2> is preferred energetically. Next in line: 326 meV per atom higher.

<1>
Density functional theory data (PBE) for Pm6Co2N after structural relaxation.

```
18
Lattice="6.484 0.000 0.000 0.000 7.041 0.000 -6.296 0.000 9.761" Properties=species:S:1:pos:R:3 pbc="T T T"
Pm -0.818 0.356 2.336
Pm -3.966 3.164 7.216
Pm 1.135 4.847 0.676
Pm -2.013 5.715 5.557
Pm 2.044 1.204 0.614
Pm -1.104 2.317 5.494
Pm 1.292 4.724 4.266
Pm -1.856 5.838 9.147
Pm 2.201 1.327 4.204
Pm -0.947 2.194 9.085
Pm 4.154 3.877 2.545
Pm 1.006 6.685 7.425
Co -2.841 0.695 7.431
Co 0.307 2.826 2.551
Co -0.119 4.216 7.210
Co 3.029 6.346 2.329
N 0.000 0.000 0.000
N -3.148 3.521 4.880
```

Output
Space-group type: No. 14
Crystal system: monoclinic

<2>
Density functional theory data (PBE) for Pm6Co2N after structural relaxation.

```
9
Lattice="6.542 -1.837 0.000 6.542 1.837 0.000 -4.122 0.000 10.078" Properties=species:S:1:pos:R:3 pbc="T T T"
Pm -1.048 0.000 2.870
Pm -0.068 0.000 6.182
Pm 0.609 0.000 9.588
Pm 8.354 0.000 0.490
Pm 9.030 0.000 3.896
Pm 10.011 0.000 7.208
Co 3.465 0.000 1.906
Co 5.498 0.000 8.172
N -2.061 0.000 5.039
```

Output
Space-group type: No. 12
Crystal system: monoclinic

<1> is preferred energetically. Next in line: 192 meV per atom higher.

<1>
Density functional theory data (PBE) for Co2Pt2N after structural relaxation.

```
5
Lattice="-1.824 1.824 5.792 1.824 -1.824 5.792 1.824 1.824 -5.792" Properties=species:S:1:pos:R:3 pbc="T T T"
Co 0.000 0.000 1.084
Co 0.000 0.000 10.500
Pt 1.824 0.000 2.896
Pt 0.000 1.824 2.896
N 0.000 0.000 5.792
```

Output
Space-group type: No. 139
Crystal system: tetragonal

<2>
Density functional theory data (PBE) for Co2Pt2N after structural relaxation.

```
10
Lattice="5.091 0.000 0.000 0.000 5.091 0.000 0.000 0.000 4.889" Properties=species:S:1:pos:R:3 pbc="T T T"
Co 0.995 1.551 0.000
Co 1.551 4.097 0.000
Co 3.540 0.995 0.000
Co 4.097 3.540 0.000
Pt 0.923 3.469 2.445
Pt 1.623 0.923 2.445
Pt 3.469 4.168 2.445
Pt 4.168 1.623 2.445
N 0.000 0.000 0.000
N 2.546 2.546 0.000
```

Output
Space-group type: No. 127
Crystal system: tetragonal

<2> is preferred energetically. Next in line: 1055 meV per atom higher.